## LaFeBrO2 (PBE+U)

Data for a relaxed structure of LaFeBrO2.

Results
DFT total energy	-6.412	eV per atom
theoretical density	4779	kg/m3

The structure in CIF format:
```
data_LaFeBrO2
_cell_length_a 6.712
_cell_length_b 4.162
_cell_length_c 7.660
_cell_angle_alpha 90.00
_cell_angle_beta 95.15
_cell_angle_gamma 90.00
_space_group_name_H-M_alt 'P 1 21/m 1'
_space_group_IT_number 11
loop_
_space_group_symop_operation_xyz
'x,y,z'
'-x,-y,-z'
'-x,y+1/2,-z'
'x,-y+1/2,z'
loop_
_atom_site_label
_atom_site_type_symbol
_atom_site_fract_x
_atom_site_fract_y
_atom_site_fract_z
La1 La 0.201 0.250 0.127
Fe1 Fe 0.026 0.250 0.633
Br1 Br 0.440 0.250 0.768
O1 O 0.036 0.250 0.380
O2 O 0.046 0.750 0.121
```